(1)
Material: BaMn2TlI
Method: DFT, GGA-PBE
State: optimized geometry

Results
- SG: P4/mmm (123)
- E: -19.34 eV for the cell shown
- Formation energy (no corrections): 0.97 eV/atom

a = 6.2094 Å, b = 6.5455 Å, c = 6.2094 Å
α = 90.00°, β = 90.00°, γ = 90.00°
Fractional positions:
I 0.0000 0.5000 0.0000
Tl 0.5000 0.5000 0.5000
Mn 0.0000 0.0000 0.5000
Mn 0.5000 0.0000 0.0000
Ba 0.0000 0.0000 0.0000

---

(2)
Material: Ca2AgSn2
Method: DFT, GGA-PBE
State: optimized geometry

Results
- SG: C2/m (12)
- ΔE_f: -0.57 eV per atom
- E: -35.38 eV for the cell shown
- Energy above the lowest structure with this stoichiometry: 0 meV per atom

a = 4.7640 Å, b = 6.1832 Å, c = 10.3694 Å
α = 81.75°, β = 76.72°, γ = 67.34°
Fractional positions:
Ca 0.3188 0.2571 0.1052
Ca 0.5144 0.3040 0.6672
Ca 0.6812 0.7429 0.8948
Ca 0.4856 0.6960 0.3328
Ag 0.7797 0.0980 0.3426
Ag 0.2203 0.9020 0.6574
Sn 0.9727 0.1708 0.8839
Sn 0.1425 0.2808 0.4343
Sn 0.0273 0.8292 0.1161
Sn 0.8575 0.7192 0.5657

---

(3)
Material: MgReAu2
Method: DFT, GGA-PBE
State: optimized geometry

Results
- SG: I-4m2 (119)
- ΔE_f: 0.37 eV per atom
- E: -19.12 eV for the cell shown

a = 5.0341 Å, b = 5.0341 Å, c = 5.0341 Å
α = 132.25°, β = 132.25°, γ = 69.83°
Fractional positions:
Au 0.0000 0.0000 0.0000
Au 0.2500 0.7500 0.5000
Mg 0.5000 0.5000 0.0000
Re 0.7500 0.2500 0.5000

---

(4)
Material: BaCaPt2
Method: DFT, GGA-PBE
State: optimized geometry

Results
- SG: Imm2 (44)
- ΔE_f: -0.61 eV per atom
- E: -18.44 eV for the cell shown
- Energy above the lowest structure with this stoichiometry: 140 meV per atom

a = 7.1174 Å, b = 7.1174 Å, c = 7.1174 Å
α = 146.96°, β = 144.98°, γ = 48.91°
Fractional positions:
Ca 0.2675 0.7675 0.5000
Ba 0.5274 0.5274 0.0000
Pt 0.9266 0.9266 0.0000
Pt 0.7786 0.2786 0.5000

---

(5)
Material: KBaLiCa
Method: DFT, GGA-PBE
State: optimized geometry

Results
- SG: F-43m (216)
- ΔE_f: 0.17 eV per atom
- E: -6.25 eV for the cell shown

a = 6.4498 Å, b = 6.4498 Å, c = 6.4498 Å
α = 60.00°, β = 60.00°, γ = 60.00°
Fractional positions:
K 0.5000 0.5000 0.5000
Ca 0.2500 0.2500 0.2500
Ba 0.7500 0.7500 0.7500
Li 0.0000 0.0000 0.0000

---

(6)
Material: Be2PtCl
Method: DFT, GGA-PBE
State: optimized geometry

Results
- SG: P4mm (99)
- E: -16.41 eV for the cell shown
- Formation energy (no corrections): -0.27 eV/atom
- Energy above the lowest structure with this stoichiometry: 270 meV per atom

a = 3.1174 Å, b = 3.1174 Å, c = 7.2093 Å
α = 90.00°, β = 90.00°, γ = 90.00°
Fractional positions:
Be 0.0000 0.0000 0.9804
Be 0.5000 0.5000 0.2263
Pt 0.5000 0.5000 0.9289
Cl 0.0000 0.0000 0.3644

---

(7)
Material: OsRhAu2
Method: DFT, GGA-PBE
State: optimized geometry

Results
- SG: R-3m (166)
- ΔE_f: 0.43 eV per atom
- E: -23.43 eV for the cell shown
- Energy above the lowest structure with this stoichiometry: 212 meV per atom

a = 9.3728 Å, b = 9.3728 Å, c = 9.3728 Å
α = 17.33°, β = 17.33°, γ = 17.33°
Fractional positions:
Os 0.5000 0.5000 0.5000
Rh 0.0000 0.0000 0.0000
Au 0.7500 0.7500 0.7500
Au 0.2500 0.2500 0.2500

---

(8)
Material: LiTm2AlO
Method: DFT, GGA-PBE
State: optimized geometry

Results
- SG: P4/mmm (123)
- E: -26.45 eV for the cell shown
- Formation energy (no corrections): -1.38 eV/atom

a = 4.0650 Å, b = 4.6902 Å, c = 4.6902 Å
α = 90.00°, β = 90.00°, γ = 90.00°
Fractional positions:
Li 0.5000 0.0000 0.0000
Tm 0.0000 0.0000 0.5000
Tm 0.0000 0.5000 0.0000
Al 0.5000 0.5000 0.5000
O 0.0000 0.0000 0.0000

---

(9)
Material: Ac3LaAu4
Method: DFT, GGA-PBE
State: optimized geometry

Results
- SG: C2/m (12)
- ΔE_f: -0.77 eV per atom
- E: -36.54 eV for the cell shown

a = 5.4731 Å, b = 5.4715 Å, c = 8.7039 Å
α = 108.17°, β = 108.32°, γ = 90.00°
Fractional positions:
Ac 0.0000 0.5000 0.0000
Ac 0.7492 0.2492 0.4985
Ac 0.2508 0.7508 0.5015
Au 0.3780 0.3776 0.7560
Au 0.6220 0.6224 0.2440
Au 0.1219 0.1218 0.2439
Au 0.8781 0.8782 0.7561
La 0.5000 0.0000 0.0000

---

(10)
Material: DyY6Ho4
Method: DFT, GGA-PBE
State: optimized geometry

Results
- SG: I-42m (121)
- ΔE_f: 0.43 eV per atom
- E: -56.97 eV for the cell shown
- Energy above the lowest structure with this stoichiometry: 306 meV per atom

a = 7.4815 Å, b = 7.4815 Å, c = 8.5377 Å
α = 115.99°, β = 115.99°, γ = 90.00°
Fractional positions:
Dy 0.5000 0.5000 0.0000
Y 0.9190 0.4537 0.3727
Y 0.4537 0.9190 0.3727
Y 0.5463 0.5463 0.6273
Y 0.0000 0.5000 0.0000
Y 0.0810 0.0810 0.6273
Y 0.5000 0.0000 0.0000
Ho 0.0842 0.7572 0.8414
Ho 0.9158 0.9158 0.1586
Ho 0.7572 0.0842 0.8414
Ho 0.2428 0.2428 0.1586

---

(11)
Material: Li2PuTeO8
Method: DFT, GGA-PBE
State: optimized geometry

Results
- SG: I-4m2 (119)
- E: -78.64 eV for the cell shown
- Formation energy (no corrections): -1.47 eV/atom

a = 5.7622 Å, b = 5.7622 Å, c = 5.7622 Å
α = 113.80°, β = 113.80°, γ = 101.12°
Fractional positions:
Li 0.7500 0.2500 0.5000
Li 0.5000 0.5000 0.0000
Pu 0.0000 0.0000 0.0000
Te 0.2500 0.7500 0.5000
O 0.3356 0.0373 0.2983
O 0.3020 0.5049 0.2029
O 0.3020 0.0992 0.7971
O 0.7390 0.0373 0.7017
O 0.9008 0.6980 0.2029
O 0.9627 0.2610 0.2983
O 0.9627 0.6644 0.7017
O 0.4951 0.6980 0.7971

---

(12)
Material: GaAgHg2As
Method: DFT, GGA-PBE
State: optimized geometry

Results
- SG: P4/mmm (123)
- ΔE_f: 0.48 eV per atom
- E: -8.73 eV for the cell shown

a = 5.2321 Å, b = 5.2321 Å, c = 4.9721 Å
α = 90.00°, β = 90.00°, γ = 90.00°
Fractional positions:
As 0.0000 0.0000 0.5000
Ga 0.0000 0.0000 0.0000
Hg 0.0000 0.5000 0.0000
Hg 0.5000 0.0000 0.0000
Ag 0.5000 0.5000 0.5000

---

It is found that the DOS(E_F) values, taken in the order of the records, are 5.20, 3.79, 2.99, 1.76, 4.58, 1.25, 3.94, 1.00, 4.81, 13.86, 2.17, 3.98 states/eV/cell.